No. 1
Density functional theory data (PBE) for crystalline MnCr2Br at its relaxed geometry.

Lattice parameters (Å, degrees): 3.1256 4.3661 4.6186 90.00 90.00 90.00
Last column: nearest neighbours and their distance in Å.
Element x y z (fractional)
Br: 0.0000 0.5000 0.5000  4 Mn 2.68, 4 Cr 2.79
Cr: 0.0000 0.0000 0.0000  4 Cr 2.68, 4 Mn 2.79
Cr: 0.5000 0.5000 0.0000  4 Cr 2.68, 4 Br 2.79
Mn: 0.5000 0.0000 0.5000  4 Br 2.68, 4 Cr 2.79

- Energy above the lowest structure with this stoichiometry: 465.4 meV per atom
- Crystal system: orthorhombic



No. 2
Density functional theory data (PBE) for crystalline MnCrBr2 at its relaxed geometry.

Lattice parameters (Å, degrees): 3.4518 3.4516 7.0200 90.00 90.00 90.00
Last column: nearest neighbours and their distance in Å.
Element x y z (fractional)
Br: 0.0000 0.0000 0.9923  4 Mn 2.98, 4 Cr 3.04
Br: 0.0000 0.0000 0.5077  4 Mn 2.98, 4 Cr 3.04
Cr: 0.5000 0.5000 0.2500  8 Br 3.04
Mn: 0.5000 0.5000 0.7500  8 Br 2.98

- Energy above the lowest structure with this stoichiometry: 310.1 meV per atom
- Crystal system: tetragonal



No. 3
Density functional theory data (PBE) for crystalline Mn2CrBr at its relaxed geometry.

Lattice parameters (Å, degrees): 3.1028 3.1625 6.9964 76.96 90.00 90.00
Last column: nearest neighbours and their distance in Å.
Element x y z (fractional)
Br: 0.0000 0.6987 0.4770  2 Cr 2.77, 4 Mn 2.82, 2 Br 3.10
Cr: 0.5000 0.5306 0.8140  5 Mn 2.51-2.78, 2 Br 2.77
Mn: 0.0000 0.9440 0.9873  4 Cr 2.51, 4 Mn 2.73
Mn: 0.5000 0.3267 0.2217  4 Mn 2.73, 1 Cr 2.78, 4 Br 2.82

- Energy above the lowest structure with this stoichiometry: 54.7 meV per atom
- Crystal system: orthorhombic



Values for N(E_F), states/eV/cell, ordered as above
3.324, 1.182, 2.561
Values for formation energy without anion corrections, eV/atom, ordered as above
0.77, 0.34, 0.36
Values for VASP energy, Ry per atom, ordered as above
-0.49609, -0.38188, -0.51780